(1)
A plane-wave DFT calculation with PBEsol was carried out for crystalline Cd2FeW at its relaxed geometry.

Lattice parameters (Å, degrees): 2.7016 5.1720 5.1720 115.30 90.00 90.00
Last column: nearest neighbours and their distance in Å.
Atoms (fractional coordinates):
Cd: 0.0000 0.5000 0.0000  4 Cd 2.70-2.77, 4 Fe 2.92, 4 W 2.92
Cd: 0.0000 0.0000 0.5000  4 Cd 2.70-2.77, 4 W 2.92, 4 Fe 2.92
Fe: 0.5000 0.0000 0.0000  2 Fe 2.70, 2 W 2.77, 8 Cd 2.92
W: 0.5000 0.5000 0.5000  2 W 2.70, 2 Fe 2.77, 8 Cd 2.92

Summary:
E_form = 56 kJ per mole of atoms
space group = Cmmm

---

(2)
A plane-wave DFT calculation with PBEsol was carried out for crystalline Cd2FeW at its relaxed geometry.

Lattice parameters (Å, degrees): 2.9464 4.5739 4.8047 90.00 90.00 90.00
Last column: nearest neighbours and their distance in Å.
Atoms (fractional coordinates):
Cd: 0.0000 0.0000 0.0000  6 Cd 2.72-2.95, 4 Fe 2.82
Cd: 0.5000 0.5000 0.0000  6 Cd 2.72-2.95, 4 W 2.82
Fe: 0.5000 0.0000 0.5000  4 W 2.72, 4 Cd 2.82, 2 Fe 2.95
W: 0.0000 0.5000 0.5000  4 Fe 2.72, 4 Cd 2.82, 2 W 2.95

Summary:
E_form = 63 kJ per mole of atoms
space group = Pmmm

---

(3)
A plane-wave DFT calculation with PBEsol was carried out for crystalline Cd2FeW at its relaxed geometry.

Lattice parameters (Å, degrees): 2.9555 4.7777 5.4371 116.06 105.77 90.00
Last column: nearest neighbours and their distance in Å.
Atoms (fractional coordinates):
Cd: 0.9924 0.9924 0.9847  4 Fe 2.82, 6 Cd 2.96-3.15, 4 W 3.00-3.15
Cd: 0.7718 0.2718 0.5436  2 Fe 2.77, 4 W 2.86, 4 Cd 2.96-2.99
Fe: 0.5236 0.5236 0.0472  2 W 2.30
W: 0.2122 0.7122 0.4244  2 Fe 2.30

Summary:
E_form = 56 kJ per mole of atoms
space group = Imm2

---

(4)
A plane-wave DFT calculation with PBEsol was carried out for crystalline Cd2FeW at its relaxed geometry.

Lattice parameters (Å, degrees): 2.8187 2.8187 9.6406 81.59 81.59 60.00
Last column: nearest neighbours and their distance in Å.
Atoms (fractional coordinates):
Cd: 0.2460 0.2460 0.2621  3 Fe 2.79, 6 Cd 2.82, 3 W 2.97
Cd: 0.7540 0.7540 0.7379  3 Fe 2.79, 6 Cd 2.82, 3 W 2.97
Fe: 0.5000 0.5000 0.5000  6 Cd 2.79, 6 Fe 2.82
W: 0.0000 0.0000 0.0000  6 W 2.82, 6 Cd 2.97

Summary:
E_form = 53 kJ per mole of atoms
space group = R-3m

---

(5)
A plane-wave DFT calculation with PBEsol was carried out for crystalline Y2CdFe at its relaxed geometry.

Lattice parameters (Å, degrees): 3.7815 4.4310 5.7956 90.00 109.10 90.00
Last column: nearest neighbours and their distance in Å.
Atoms (fractional coordinates):
Cd: 0.3057 0.0000 0.4868  2 Fe 2.71, 2 Y 3.02
Fe: 0.4483 0.5000 0.7713  2 Cd 2.71, 5 Y 3.02-3.03
Y: 0.0213 0.0000 0.9169  4 Fe 3.02, 3 Cd 3.02-3.12
Y: 0.7247 0.5000 0.3249  3 Fe 3.03-3.09, 4 Cd 3.04-3.05

Summary:
E_form = 2 kJ per mole of atoms
space group = Amm2

---

(6)
A plane-wave DFT calculation with PBEsol was carried out for crystalline YCdFe2 at its relaxed geometry.

Lattice parameters (Å, degrees): 4.5508 4.5508 4.5636 119.91 119.91 90.00
Last column: nearest neighbours and their distance in Å.
Atoms (fractional coordinates):
Cd: 0.5000 0.5000 0.0000  8 Fe 2.79
Fe: 0.2500 0.7500 0.5000  4 Cd 2.79, 4 Y 2.79
Fe: 0.7500 0.2500 0.5000  4 Cd 2.79, 4 Y 2.79
Y: 0.0000 0.0000 0.0000  8 Fe 2.79

Summary:
E_form = 32 kJ per mole of atoms
space group = I4/mmm

---

(7)
A plane-wave DFT calculation with PBEsol was carried out for crystalline YCdFe2 at its relaxed geometry.

Lattice parameters (Å, degrees): 3.1008 3.1008 7.1361 90.00 90.00 90.00
Last column: nearest neighbours and their distance in Å.
Atoms (fractional coordinates):
Cd: 0.5000 0.5000 0.8010  5 Fe 2.79-2.80, 4 Cd 3.10
Fe: 0.0000 0.0000 0.0457  4 Fe 2.43
Fe: 0.5000 0.5000 0.1919  4 Fe 2.43
Y: 0.0000 0.0000 0.4614  5 Fe 2.92-2.97, 4 Y 3.10

Summary:
E_form = 10 kJ per mole of atoms
space group = P4mm

---

(8)
A plane-wave DFT calculation with PBEsol was carried out for crystalline YCd2Fe at its relaxed geometry.

Lattice parameters (Å, degrees): 4.2766 4.2766 5.2305 114.13 114.13 90.00
Last column: nearest neighbours and their distance in Å.
Atoms (fractional coordinates):
Cd: 0.7500 0.2500 0.5000  4 Fe 3.02, 4 Y 3.02, 4 Cd 3.02
Cd: 0.2500 0.7500 0.5000  4 Y 3.02, 4 Fe 3.02, 4 Cd 3.02
Fe: 0.5000 0.5000 0.0000  8 Cd 3.02, 4 Y 3.02
Y: 0.0000 0.0000 0.0000  8 Cd 3.02, 4 Fe 3.02

Summary:
E_form = 7 kJ per mole of atoms
space group = I4/mmm

---

(9)
A plane-wave DFT calculation with PBEsol was carried out for crystalline Zn2CdFe at its relaxed geometry.

Lattice parameters (Å, degrees): 2.6626 5.0790 5.0790 116.33 99.93 99.93
Last column: nearest neighbours and their distance in Å.
Atoms (fractional coordinates):
Cd: 0.5000 0.0000 0.0000  4 Zn 2.66, 2 Cd 2.66, 2 Fe 2.68
Fe: 0.5000 0.5000 0.5000  4 Zn 2.66, 2 Fe 2.66, 2 Cd 2.68
Zn: 0.0000 0.5000 0.0000  2 Cd 2.66, 2 Fe 2.66, 4 Zn 2.66-2.68
Zn: 0.0000 0.0000 0.5000  2 Fe 2.66, 2 Cd 2.66, 4 Zn 2.66-2.68

Summary:
E_form = 18 kJ per mole of atoms
space group = C2/m

---

(10)
A plane-wave DFT calculation with PBEsol was carried out for crystalline ZnCd2Fe at its relaxed geometry.

Lattice parameters (Å, degrees): 2.8427 4.8945 4.8945 109.92 90.00 90.00
Last column: nearest neighbours and their distance in Å.
Atoms (fractional coordinates):
Cd: 0.0000 0.5000 0.0000  4 Cd 2.81-2.84, 4 Zn 2.83, 4 Fe 2.83
Cd: 0.0000 0.0000 0.5000  4 Cd 2.81-2.84, 4 Fe 2.83, 4 Zn 2.83
Fe: 0.5000 0.0000 0.0000  2 Zn 2.81, 8 Cd 2.83, 2 Fe 2.84
Zn: 0.5000 0.5000 0.5000  2 Fe 2.81, 8 Cd 2.83, 2 Zn 2.84

Summary:
E_form = 23 kJ per mole of atoms
space group = Cmmm

---

(11)
A plane-wave DFT calculation with PBEsol was carried out for crystalline Zn2CdFe2 at its relaxed geometry.

Lattice parameters (Å, degrees): 3.3997 3.3997 6.8335 104.40 104.40 90.00
Last column: nearest neighbours and their distance in Å.
Atoms (fractional coordinates):
Cd: 0.0000 0.0000 0.0000  8 Zn 2.76
Fe: 0.2500 0.7500 0.5000  4 Fe 2.40, 4 Zn 2.51
Fe: 0.7500 0.2500 0.5000  4 Fe 2.40, 4 Zn 2.51
Zn: 0.6058 0.6058 0.2116  4 Fe 2.51, 1 Zn 2.71, 4 Cd 2.76
Zn: 0.3942 0.3942 0.7884  4 Fe 2.51, 1 Zn 2.71, 4 Cd 2.76

Summary:
E_form = 34 kJ per mole of atoms
space group = I4/mmm

---

(12)
A plane-wave DFT calculation with PBEsol was carried out for crystalline ZnCd2Fe at its relaxed geometry.

Lattice parameters (Å, degrees): 2.8220 2.8220 8.1162 90.00 90.00 90.18
Last column: nearest neighbours and their distance in Å.
Atoms (fractional coordinates):
Cd: 0.0000 0.0000 0.0194  8 Cd 2.82-3.15, 4 Zn 2.92
Cd: 0.5000 0.5000 0.7189  4 Fe 2.78-2.79, 4 Cd 2.82
Fe: 0.0000 0.0000 0.4795  4 Zn 2.56, 4 Cd 2.78-2.79, 4 Fe 2.82
Zn: 0.5000 0.5000 0.2822  4 Fe 2.56, 4 Zn 2.82

Summary:
E_form = 16 kJ per mole of atoms
space group = Cmm2

---

(13)
A plane-wave DFT calculation with PBEsol was carried out for crystalline Zn2CdFe at its relaxed geometry.

Lattice parameters (Å, degrees): 2.8588 4.4535 5.2740 114.97 105.73 90.00
Last column: nearest neighbours and their distance in Å.
Atoms (fractional coordinates):
Cd: 0.5091 0.5091 0.0183  6 Zn 2.65-2.84, 2 Fe 2.72, 2 Cd 2.86
Fe: 0.2626 0.7626 0.5253  6 Zn 2.50-2.65, 2 Cd 2.72
Zn: 0.9880 0.9880 0.9760  2 Fe 2.50, 4 Cd 2.65, 2 Zn 2.71
Zn: 0.7402 0.2402 0.4805  4 Fe 2.65, 4 Zn 2.71-2.86, 2 Cd 2.84

Summary:
E_form = 19 kJ per mole of atoms
space group = Imm2

---

(14)
A plane-wave DFT calculation with PBEsol was carried out for crystalline ZnCd2Fe at its relaxed geometry.

Lattice parameters (Å, degrees): 3.8964 4.0395 4.0395 90.00 90.00 90.00
Last column: nearest neighbours and their distance in Å.
Atoms (fractional coordinates):
Cd: 0.0000 0.0000 0.5000  4 Zn 2.81, 4 Fe 2.81, 4 Cd 2.86
Cd: 0.0000 0.5000 0.0000  4 Fe 2.81, 4 Zn 2.81, 4 Cd 2.86
Fe: 0.5000 0.5000 0.5000  8 Cd 2.81, 4 Zn 2.86
Zn: 0.5000 0.0000 0.0000  8 Cd 2.81, 4 Fe 2.86

Summary:
E_form = 21 kJ per mole of atoms
space group = P4/mmm

---

(15)
A plane-wave DFT calculation with PBEsol was carried out for crystalline ZrCd3Fe at its relaxed geometry.

Lattice parameters (Å, degrees): 4.7652 4.7652 4.7652 90.00 90.00 90.00
Last column: nearest neighbours and their distance in Å.
Atoms (fractional coordinates):
Fe: 0.0000 0.0000 0.0000  6 Cd 2.38
Zr: 0.5000 0.5000 0.5000  12 Cd 3.37
Cd: 0.0000 0.5000 0.0000  2 Fe 2.38
Cd: 0.0000 0.0000 0.5000  2 Fe 2.38
Cd: 0.5000 0.0000 0.0000  2 Fe 2.38

Summary:
E_form = 65 kJ per mole of atoms
space group = Pm-3m

---

(16)
A plane-wave DFT calculation with PBEsol was carried out for crystalline ZrCd3Fe at its relaxed geometry.

Lattice parameters (Å, degrees): 5.3785 5.3785 5.3785 90.00 90.00 90.00
Last column: nearest neighbours and their distance in Å.
Atoms (fractional coordinates):
Fe: 0.5000 0.5000 0.5000  12 Cd 3.80
Zr: 0.0000 0.0000 0.0000  6 Cd 2.69
Cd: 0.0000 0.5000 0.0000  2 Zr 2.69
Cd: 0.0000 0.0000 0.5000  2 Zr 2.69
Cd: 0.5000 0.0000 0.0000  2 Zr 2.69

Summary:
E_form = 158 kJ per mole of atoms
space group = Pm-3m

---

(17)
A plane-wave DFT calculation with PBEsol was carried out for crystalline RbCd2GaGe at its relaxed geometry.

Lattice parameters (Å, degrees): 4.9610 5.5151 5.5151 90.00 90.00 90.00
Last column: nearest neighbours and their distance in Å.
Atoms (fractional coordinates):
Ge: 0.0000 0.0000 0.0000  2 Ga 2.48, 4 Cd 2.76
Ga: 0.5000 0.0000 0.0000  2 Ge 2.48
Rb: 0.5000 0.5000 0.5000  8 Cd 3.71, 4 Ga 3.90
Cd: 0.0000 0.0000 0.5000  2 Ge 2.76
Cd: 0.0000 0.5000 0.0000  2 Ge 2.76

Summary:
E_form = 23 kJ per mole of atoms
space group = P4/mmm

---

(18)
A plane-wave DFT calculation with PBEsol was carried out for crystalline LiCd2GaH at its relaxed geometry.

Lattice parameters (Å, degrees): 4.5672 4.7982 4.7982 90.00 90.00 90.00
Last column: nearest neighbours and their distance in Å.
Atoms (fractional coordinates):
H: 0.5000 0.5000 0.5000  8 Cd 3.31, 4 Ga 3.39
Li: 0.0000 0.0000 0.0000  2 Ga 2.28, 4 Cd 2.40
Ga: 0.5000 0.0000 0.0000  2 Li 2.28
Cd: 0.0000 0.0000 0.5000  2 Li 2.40
Cd: 0.0000 0.5000 0.0000  2 Li 2.40

Summary:
VASP energy = -1.4971 eV per atom
space group = P4/mmm

---

(19)
A plane-wave DFT calculation with PBEsol was carried out for crystalline HfCd3Ga at its relaxed geometry.

Lattice parameters (Å, degrees): 5.4776 5.4776 5.4776 90.00 90.00 90.00
Last column: nearest neighbours and their distance in Å.
Atoms (fractional coordinates):
Hf: 0.0000 0.0000 0.0000  6 Cd 2.74
Ga: 0.5000 0.5000 0.5000  12 Cd 3.87
Cd: 0.0000 0.5000 0.0000  2 Hf 2.74
Cd: 0.0000 0.0000 0.5000  2 Hf 2.74
Cd: 0.5000 0.0000 0.0000  2 Hf 2.74

Summary:
E_form = 103 kJ per mole of atoms
space group = Pm-3m

---

(20)
A plane-wave DFT calculation with PBEsol was carried out for crystalline CdGa2Hg2 at its relaxed geometry.

Lattice parameters (Å, degrees): 3.7234 3.7234 8.2440 103.05 103.05 90.00
Last column: nearest neighbours and their distance in Å.
Atoms (fractional coordinates):
Hg: 0.4001 0.4001 0.8003  4 Ga 2.99, 4 Cd 3.06, 1 Hg 3.12
Hg: 0.5999 0.5999 0.1997  4 Ga 2.99, 4 Cd 3.06, 1 Hg 3.12
Ga: 0.2500 0.7500 0.5000  4 Ga 2.63
Ga: 0.7500 0.2500 0.5000  4 Ga 2.63
Cd: 0.0000 0.0000 0.0000  8 Hg 3.06

Summary:
E_form = 9 kJ per mole of atoms
space group = I4/mmm

---

The records above give, respectively, total magnetic moment values of 2.9 1.9 0.4 2.7 1.1 4.2 4.5 1.7 2.3 2.2 4.6 2.4 2.1 2.3 2.3 2.0 0.0 0.0 0.9 0.0 Bohr magnetons per cell.